VASP calculation (PBE+U) on a relaxed structure of CrCd2O.

Results
Volume ... 80.2 Å³/f.u.
Final energy ... -62.29 eV per cell

Geometry as CIF:
```
data_CrCd2O
_space_group_name_H-M_alt 'P 1'
_space_group_IT_number 1
_cell_length_a 8.974
_cell_length_b 8.974
_cell_length_c 3.986
_cell_angle_alpha 90.00
_cell_angle_beta 90.00
_cell_angle_gamma 90.00
loop_
_space_group_symop_operation_xyz
'x,y,z'
loop_
_atom_site_label
_atom_site_type_symbol
_atom_site_fract_x
_atom_site_fract_y
_atom_site_fract_z
_atom_site_occupancy
Cr1 Cr 0.000 0.000 0.000 1
Cr2 Cr 0.000 0.500 0.250 1
Cr3 Cr 0.500 0.000 0.750 1
Cr4 Cr 0.500 0.500 0.500 1
Cd1 Cd 0.136 0.750 0.625 1
Cd2 Cd 0.250 0.136 0.375 1
Cd3 Cd 0.250 0.364 0.875 1
Cd4 Cd 0.364 0.750 0.125 1
Cd5 Cd 0.636 0.250 0.125 1
Cd6 Cd 0.750 0.636 0.875 1
Cd7 Cd 0.750 0.864 0.375 1
Cd8 Cd 0.864 0.250 0.625 1
O1 O 0.000 0.000 0.500 1
O2 O 0.000 0.500 0.750 1
O3 O 0.500 0.000 0.250 1
O4 O 0.500 0.500 0.000 1
```